(1)
# RbPbF2 | Alexandria | GGA-PBE | relaxed
# Total moment in μB/f.u.: 0.00
# Crystal system: trigonal
# Formation energy (no corrections) in eV per atom: -1.814
# Polymorph energy (0 for the lowest one) in eV per atom: 0.2667
data_RbPbF2
_space_group_name_H-M_alt 'R -3 m'
_space_group_IT_number 166
_space_group_name_Hall '-R 3 2"'
_cell_length_a 4.2765
_cell_length_b 4.2765
_cell_length_c 21.0890
_cell_angle_alpha 90.00
_cell_angle_beta 90.00
_cell_angle_gamma 120.00
loop_
_atom_site_label
_atom_site_type_symbol
_atom_site_fract_x
_atom_site_fract_y
_atom_site_fract_z
Rb1 Rb 0.0000 0.0000 0.0000
Pb1 Pb 0.0000 0.0000 0.5000
F1 F 0.0000 0.0000 0.1256

=====

(2)
# CaSc2ZnF | Alexandria | GGA-PBE | relaxed
# Total moment in μB/f.u.: 2.12
# Crystal system: tetragonal
# Formation energy (no corrections) in eV per atom: -0.744
data_CaSc2ZnF
_space_group_name_H-M_alt 'P 4/m m m'
_space_group_IT_number 123
_space_group_name_Hall '-P 4 2'
_cell_length_a 4.443
_cell_length_b 4.443
_cell_length_c 5.721
_cell_angle_alpha 90.00
_cell_angle_beta 90.00
_cell_angle_gamma 90.00
loop_
_atom_site_label
_atom_site_type_symbol
_atom_site_fract_x
_atom_site_fract_y
_atom_site_fract_z
Ca1 Ca 0.000 0.000 0.000
Sc1 Sc 0.000 0.500 0.500
Zn1 Zn 0.500 0.500 0.000
F1 F 0.500 0.500 0.500

=====

(3)
# Mg7SnHg2 | Alexandria | GGA-PBE | relaxed
# Total moment in μB/f.u.: 0.00
# Formation energy in kJ per mole of atoms: -12.54
# Crystal system: trigonal
data_Mg7SnHg2
_space_group_name_H-M_alt 'P 3 m 1'
_space_group_IT_number 156
_cell_length_a 4.8040
_cell_length_b 4.8040
_cell_length_c 11.9069
_cell_angle_alpha 90.00
_cell_angle_beta 90.00
_cell_angle_gamma 120.00
loop_
_space_group_symop_operation_xyz
'x,y,z'
'-y,x-y,z'
'-x+y,-x,z'
'-y,-x,z'
'-x+y,y,z'
'x,x-y,z'
loop_
_atom_site_label
_atom_site_type_symbol
_atom_site_fract_x
_atom_site_fract_y
_atom_site_fract_z
Mg1 Mg 0.0000 0.0000 0.0000
Mg2 Mg 0.0000 0.0000 0.2529
Mg3 Mg 0.0000 0.0000 0.5307
Mg4 Mg 0.3333 0.6667 0.1430
Mg5 Mg 0.3333 0.6667 0.6912
Mg6 Mg 0.6667 0.3333 0.3538
Mg7 Mg 0.6667 0.3333 0.8529
Sn1 Sn 0.3333 0.6667 0.4287
Hg1 Hg 0.0000 0.0000 0.7657
Hg2 Hg 0.6667 0.3333 0.1026

=====

(4)
# Zr2TlOs | Alexandria | GGA-PBE | relaxed
# Total moment in μB/f.u.: 0.07
# Formation energy in kJ per mole of atoms: -4.22
# Crystal system: tetragonal
# Polymorph energy (0 for the lowest one) in eV per atom: 0.2136
data_Zr2TlOs
_space_group_name_H-M_alt 'P 4/m m m'
_space_group_IT_number 123
_space_group_name_Hall '-P 4 2'
_cell_length_a 4.754
_cell_length_b 4.754
_cell_length_c 3.556
_cell_angle_alpha 90.00
_cell_angle_beta 90.00
_cell_angle_gamma 90.00
loop_
_atom_site_label
_atom_site_type_symbol
_atom_site_fract_x
_atom_site_fract_y
_atom_site_fract_z
Zr1 Zr 0.000 0.500 0.000
Tl1 Tl 0.000 0.000 0.500
Os1 Os 0.500 0.500 0.500

=====

Calculated volume? In order: 27.8 22.6 23.8 20.1 Å³/atom.
Fermi-level density of states? In order: 1.969 6.175 3.041 3.113 states/eV/f.u..